Entry 1:
Computed, not measured: a relaxed HfZr2Ge2 crystal at the GGA-PBE level of DFT.

It has space group P4/mbm (No. 127), with a = 7.208 Å, b = 7.208 Å, c = 3.743 Å, α = 90.00°, β = 90.00° and γ = 90.00°. The distinct sites, in fractional coordinates, are Hf at (0.000, 0.000, 0.000), Zr at (0.170, 0.330, 0.500) and Ge at (0.131, 0.631, 0.000).

For the total energy, the calculation gives -80.507 eV for the cell shown. As for the calculated volume: 194.4 Å³/cell. As for the formation energy: -0.794 eV per atom. For the magnetization, the calculation gives 0.00 μB/cell. As for the crystal system: tetragonal.

Entry 2:
Computed, not measured: a relaxed HfZrGe3 crystal at the GGA-PBE level of DFT.

It has space group Pm-3m (No. 221), with a = 5.006 Å, b = 5.006 Å, c = 5.006 Å, α = 90.00°, β = 90.00° and γ = 90.00°. The distinct sites, in fractional coordinates, are Hf at (0.000, 0.000, 0.000), Zr at (0.500, 0.500, 0.500) and Ge at (0.000, 0.000, 0.500).

For the total energy, the calculation gives -29.480 eV for the cell shown. As for the calculated volume: 125.5 Å³/cell. The value obtained for the energy above the most stable polymorph in this dataset is 0.0 meV/atom. As for the formation energy: 0.575 eV per atom. For the magnetization, the calculation gives 0.00 μB/cell. As for the crystal system: cubic.

Number 1 is which compound? HfZr2Ge2